A) A relaxed SrYSeBr2 crystal, computed with PBE-GGA.

Summary:
* SG: No. 123

Lattice parameters (Å, degrees): 5.5329 5.5329 5.5560 90.00 90.00 90.00
Fractional coordinates of all 5 atoms:
Br: 0.0000 0.5000 0.0000
Br: 0.5000 0.0000 0.0000
Sr: 0.5000 0.5000 0.5000
Se: 0.0000 0.0000 0.5000
Y: 0.0000 0.0000 0.0000

---

B) A relaxed SrYSeBr2 crystal, computed with PBE-GGA.

Summary:
* SG: No. 123

Lattice parameters (Å, degrees): 5.6123 5.6123 5.9795 90.00 90.00 90.00
Fractional coordinates of all 5 atoms:
Br: 0.5000 0.0000 0.0000
Br: 0.0000 0.5000 0.0000
Y: 0.5000 0.5000 0.5000
Se: 0.0000 0.0000 0.5000
Sr: 0.0000 0.0000 0.0000

---

Which structure loses on stability? B) does.

---

A) A relaxed SrYSe2Br crystal, computed with PBE-GGA.

Summary:
* SG: No. 123

Lattice parameters (Å, degrees): 5.7019 5.7019 5.4114 90.00 90.00 90.00
Fractional coordinates of all 5 atoms:
Br: 0.0000 0.0000 0.5000
Se: 0.0000 0.5000 0.0000
Se: 0.5000 0.0000 0.0000
Y: 0.5000 0.5000 0.5000
Sr: 0.0000 0.0000 0.0000

---

B) A relaxed SrYSe2Br crystal, computed with PBE-GGA.

Summary:
* SG: No. 123

Lattice parameters (Å, degrees): 5.5219 5.5219 5.4222 90.00 90.00 90.00
Fractional coordinates of all 5 atoms:
Y: 0.0000 0.0000 0.0000
Sr: 0.5000 0.5000 0.5000
Se: 0.5000 0.0000 0.0000
Se: 0.0000 0.5000 0.0000
Br: 0.0000 0.0000 0.5000

---

Which structure loses on stability? A) does.

---

A) A relaxed SrZnSeBr2 crystal, computed with PBE-GGA.

Summary:
* SG: No. 123

Lattice parameters (Å, degrees): 5.8652 5.6927 5.8652 90.00 90.00 90.00
Fractional coordinates of all 5 atoms:
Se: 0.0000 0.0000 0.0000
Br: 0.5000 0.0000 0.0000
Br: 0.0000 0.0000 0.5000
Sr: 0.0000 0.5000 0.0000
Zn: 0.5000 0.5000 0.5000

---

B) A relaxed SrZnSeBr2 crystal, computed with PBE-GGA.

Summary:
* SG: No. 123

Lattice parameters (Å, degrees): 5.1887 5.1887 5.1449 90.00 90.00 90.00
Fractional coordinates of all 5 atoms:
Sr: 0.5000 0.5000 0.5000
Br: 0.0000 0.5000 0.0000
Br: 0.5000 0.0000 0.0000
Se: 0.0000 0.0000 0.5000
Zn: 0.0000 0.0000 0.0000

---

Which structure loses on stability? A) does.

---

A) A relaxed SrZnSe2Br crystal, computed with PBE-GGA.

Summary:
* SG: No. 123

Lattice parameters (Å, degrees): 6.1228 6.1228 5.8938 90.00 90.00 90.00
Fractional coordinates of all 5 atoms:
Se: 0.0000 0.5000 0.0000
Se: 0.5000 0.0000 0.0000
Sr: 0.0000 0.0000 0.0000
Br: 0.0000 0.0000 0.5000
Zn: 0.5000 0.5000 0.5000

---

B) A relaxed SrZnSe2Br crystal, computed with PBE-GGA.

Summary:
* SG: No. 123

Lattice parameters (Å, degrees): 4.9506 4.9506 5.4823 90.00 90.00 90.00
Fractional coordinates of all 5 atoms:
Sr: 0.5000 0.5000 0.5000
Br: 0.0000 0.0000 0.5000
Se: 0.5000 0.0000 0.0000
Se: 0.0000 0.5000 0.0000
Zn: 0.0000 0.0000 0.0000

---

Which structure loses on stability? A) does.

---

A) A relaxed SrZrSe2Br crystal, computed with PBE-GGA.

Summary:
* SG: No. 123

Lattice parameters (Å, degrees): 5.6799 5.6799 5.4791 90.00 90.00 90.00
Fractional coordinates of all 5 atoms:
Se: 0.0000 0.5000 0.0000
Se: 0.5000 0.0000 0.0000
Br: 0.0000 0.0000 0.5000
Sr: 0.0000 0.0000 0.0000
Zr: 0.5000 0.5000 0.5000

---

B) A relaxed SrZrSe2Br crystal, computed with PBE-GGA.

Summary:
* SG: No. 123

Lattice parameters (Å, degrees): 5.2943 5.2943 5.2513 90.00 90.00 90.00
Fractional coordinates of all 5 atoms:
Zr: 0.0000 0.0000 0.0000
Se: 0.5000 0.0000 0.0000
Se: 0.0000 0.5000 0.0000
Sr: 0.5000 0.5000 0.5000
Br: 0.0000 0.0000 0.5000

---

Which structure loses on stability? A) does.

---

A) A relaxed SrZrSeBr2 crystal, computed with PBE-GGA.

Summary:
* SG: No. 123

Lattice parameters (Å, degrees): 5.5912 5.5912 5.9642 90.00 90.00 90.00
Fractional coordinates of all 5 atoms:
Se: 0.0000 0.0000 0.5000
Zr: 0.5000 0.5000 0.5000
Br: 0.5000 0.0000 0.0000
Br: 0.0000 0.5000 0.0000
Sr: 0.0000 0.0000 0.0000

---

B) A relaxed SrZrSeBr2 crystal, computed with PBE-GGA.

Summary:
* SG: No. 123

Lattice parameters (Å, degrees): 5.3273 5.3273 5.3341 90.00 90.00 90.00
Fractional coordinates of all 5 atoms:
Br: 0.0000 0.5000 0.0000
Br: 0.5000 0.0000 0.0000
Se: 0.0000 0.0000 0.5000
Sr: 0.5000 0.5000 0.5000
Zr: 0.0000 0.0000 0.0000

---

Which structure loses on stability? A) does.